This record from Alexandria via LeMat-Bulk describes a geometry-optimized CaPuCd structure. The functional is PBE-GGA.

Lattice parameters (Å, degrees): 3.753 5.339 14.681 123.23 104.78 45.39
Sites, in units of the cell vectors:
Cd  0.123  0.709  0.284
Cd  0.256  0.941  0.149
Ca  0.966  0.524  0.441
Ca  0.413  0.127  0.992
Pu  0.757  0.440  0.649
Pu  0.622  0.211  0.784

- ΔE_f (meV/atom) = 46
- spin magnetization (μB per cell) = 11.99